## LaSb2P (GGA-PBE)

Data for a geometry-optimized LaSb2P structure.

Values from the calculation:
D(E_F) = 1.25 states/eV per cell
Raw formation energy = -490 meV/atom
Space-group type = No. 10

a = 4.1533 Å, b = 4.6571 Å, c = 6.0706 Å
α = 69.57°, β = 90.00°, γ = 90.00°
Closest atoms and distances in Å follow each position.
Fractional coordinates of all 4 atoms:
1 Sb 0.0000 0.9093 0.7593  2 P 2.85, 1 Sb 2.96
2 Sb 0.0000 0.0907 0.2407  2 P 2.85, 1 Sb 2.96
3 P 0.5000 0.5000 0.0000  4 Sb 2.85, 2 La 3.04
4 La 0.5000 0.5000 0.5000  2 P 3.04, 4 Sb 3.37

---

## LaSb2P (GGA-PBE)

Data for a geometry-optimized LaSb2P structure.

Values from the calculation:
D(E_F) = 2.39 states/eV per cell
Raw formation energy = -412 meV/atom
Space-group type = No. 119

a = 5.9960 Å, b = 5.9960 Å, c = 5.9960 Å
α = 136.00°, β = 136.00°, γ = 63.98°
Closest atoms and distances in Å follow each position.
Fractional coordinates of all 4 atoms:
1 P 0.7500 0.2500 0.5000  8 Sb 3.18-3.39, 4 La 3.39
2 La 0.5000 0.5000 0.0000  8 Sb 3.18-3.39, 4 P 3.39
3 Sb 0.2500 0.7500 0.5000  4 P 3.18, 4 La 3.39, 4 Sb 3.39
4 Sb 0.0000 0.0000 0.0000  4 La 3.18, 4 P 3.39, 4 Sb 3.39

---

## LaSbP2 (GGA-PBE)

Data for a geometry-optimized LaSbP2 structure.

Values from the calculation:
D(E_F) = 2.87 states/eV per cell
Raw formation energy = -431 meV/atom
Space-group type = No. 71

a = 5.3716 Å, b = 5.3716 Å, c = 5.3716 Å
α = 135.38°, β = 118.29°, γ = 79.29°
Closest atoms and distances in Å follow each position.
Fractional coordinates of all 4 atoms:
1 Sb 0.2500 0.7500 0.5000  4 P 2.76
2 La 0.7500 0.2500 0.5000  8 P 3.06-3.32
3 P 0.4745 0.4745 0.0000  2 Sb 2.76, 2 La 3.06
4 P 0.0255 0.0255 0.0000  2 Sb 2.76, 2 La 3.06

---

## LaSb2P (GGA-PBE)

Data for a geometry-optimized LaSb2P structure.

Values from the calculation:
D(E_F) = 2.78 states/eV per cell
Raw formation energy = -638 meV/atom
Space-group type = No. 129

a = 6.0774 Å, b = 6.0774 Å, c = 6.6009 Å
α = 90.00°, β = 90.00°, γ = 90.00°
Closest atoms and distances in Å follow each position.
Fractional coordinates of all 8 atoms:
1 Sb 0.0000 0.5000 0.6085  1 P 2.59
2 Sb 0.5000 0.5000 0.5000  4 Sb 3.12, 2 La 3.30
3 Sb 0.0000 0.0000 0.5000  4 Sb 3.12, 2 La 3.30
4 Sb 0.5000 0.0000 0.3915  1 P 2.59
5 La 0.0000 0.0000 0.0000  4 P 3.04, 2 Sb 3.30
6 La 0.5000 0.5000 0.0000  4 P 3.04, 2 Sb 3.30
7 P 0.5000 0.0000 0.9995  1 Sb 2.59
8 P 0.0000 0.5000 0.0005  1 Sb 2.59

---

## LaSbP2 (GGA-PBE)

Data for a geometry-optimized LaSbP2 structure.

Values from the calculation:
D(E_F) = 0.16 states/eV per cell
Raw formation energy = -697 meV/atom
Space-group type = No. 6

a = 4.1258 Å, b = 4.3254 Å, c = 7.2495 Å
α = 56.66°, β = 90.00°, γ = 90.00°
Closest atoms and distances in Å follow each position.
Fractional coordinates of all 4 atoms:
1 P 0.0000 0.1625 0.8525  1 Sb 2.61
2 P 0.5000 0.1614 0.3692  2 Sb 2.69, 1 La 2.95
3 La 0.5000 0.6734 0.8557  6 P 2.95-3.11
4 Sb 0.0000 0.5027 0.4226  3 P 2.61-2.69

---

## LaSbP (GGA-PBE)

Data for a geometry-optimized LaSbP structure.

Values from the calculation:
D(E_F) = 3.18 states/eV per cell
Raw formation energy = -268 meV/atom
Distance to the lowest polymorph of the same formula = 0.578 eV/atom
Space-group type = No. 216

a = 5.1009 Å, b = 5.1009 Å, c = 5.1009 Å
α = 60.00°, β = 60.00°, γ = 60.00°
Closest atoms and distances in Å follow each position.
Fractional coordinates of all 3 atoms:
1 La 0.2500 0.2500 0.2500  4 Sb 3.12, 4 P 3.12
2 Sb 0.5000 0.5000 0.5000  4 La 3.12
3 P 0.0000 0.0000 0.0000  4 La 3.12

---

## La2SbP (GGA-PBE)

Data for a geometry-optimized La2SbP structure.

Values from the calculation:
D(E_F) = 2.33 states/eV per cell
Raw formation energy = -396 meV/atom
Distance to the lowest polymorph of the same formula = 1.002 eV/atom
Space-group type = No. 216

a = 5.2766 Å, b = 5.2766 Å, c = 5.2766 Å
α = 60.00°, β = 60.00°, γ = 60.00°
Closest atoms and distances in Å follow each position.
Fractional coordinates of all 4 atoms:
1 P 0.5000 0.5000 0.5000  4 La 3.23, 4 Sb 3.23
2 La 0.7500 0.7500 0.7500  4 P 3.23, 4 La 3.23
3 La 0.0000 0.0000 0.0000  4 La 3.23, 4 Sb 3.23
4 Sb 0.2500 0.2500 0.2500  4 La 3.23, 4 P 3.23

---

## LaSbP2 (GGA-PBE)

Data for a geometry-optimized LaSbP2 structure.

Values from the calculation:
D(E_F) = 2.29 states/eV per cell
Raw formation energy = -490 meV/atom
Space-group type = No. 44

a = 6.0724 Å, b = 6.0724 Å, c = 6.0724 Å
α = 140.67°, β = 139.59°, γ = 57.66°
Closest atoms and distances in Å follow each position.
Fractional coordinates of all 4 atoms:
1 Sb 0.4954 0.4954 0.0000  4 P 2.93
2 P 0.2519 0.7519 0.5000  4 La 2.93
3 P 0.0042 0.0042 0.0000  4 Sb 2.93
4 La 0.7485 0.2485 0.5000  4 P 2.93

---

## LaSbP4 (GGA-PBE)

Data for a geometry-optimized LaSbP4 structure.

Values from the calculation:
D(E_F) = 5.24 states/eV per cell
Raw formation energy = -119 meV/atom
Space-group type = No. 216

a = 5.6140 Å, b = 5.6140 Å, c = 5.6140 Å
α = 60.00°, β = 60.00°, γ = 60.00°
Closest atoms and distances in Å follow each position.
Fractional coordinates of all 6 atoms:
1 P 0.3963 0.8110 0.3963  3 P 2.33
2 P 0.3963 0.3963 0.8110  3 P 2.33
3 P 0.8110 0.3963 0.3963  3 P 2.33
4 P 0.3963 0.3963 0.3963  3 P 2.33
5 Sb 0.7500 0.7500 0.7500  12 P 3.25, 4 La 3.44
6 La 0.0000 0.0000 0.0000  12 P 3.36, 4 Sb 3.44

---

## LaSb2P (GGA-PBE)

Data for a geometry-optimized LaSb2P structure.

Values from the calculation:
D(E_F) = 1.87 states/eV per cell
Raw formation energy = -537 meV/atom
Space-group type = No. 123

a = 4.4087 Å, b = 4.4087 Å, c = 5.2387 Å
α = 90.00°, β = 90.00°, γ = 90.00°
Closest atoms and distances in Å follow each position.
Fractional coordinates of all 4 atoms:
1 La 0.5000 0.5000 0.5000  4 P 3.12, 8 Sb 3.42
2 P 0.0000 0.0000 0.5000  4 La 3.12, 8 Sb 3.42
3 Sb 0.0000 0.5000 0.0000  4 Sb 3.12, 4 P 3.42, 4 La 3.42
4 Sb 0.5000 0.0000 0.0000  4 Sb 3.12, 4 La 3.42, 4 P 3.42

---

## La2SbP (GGA-PBE)

Data for a geometry-optimized La2SbP structure.

Values from the calculation:
D(E_F) = 0.87 states/eV per cell
Raw formation energy = -1199 meV/atom
Distance to the lowest polymorph of the same formula = 0.198 eV/atom
Space-group type = No. 38

a = 6.4421 Å, b = 6.4421 Å, c = 4.6824 Å
α = 90.00°, β = 90.00°, γ = 141.62°
Closest atoms and distances in Å follow each position.
Fractional coordinates of all 4 atoms:
1 La 0.9951 0.0049 0.0000  4 P 3.16, 3 Sb 3.28-3.52
2 La 0.7378 0.2622 0.5000  1 P 2.86, 4 Sb 3.17
3 Sb 0.2643 0.7357 0.0000  7 La 3.17-3.52
4 P 0.5027 0.4973 0.5000  5 La 2.86-3.16

---

## La2SbP (GGA-PBE)

Data for a geometry-optimized La2SbP structure.

Values from the calculation:
D(E_F) = 1.28 states/eV per cell
Raw formation energy = -1301 meV/atom
Distance to the lowest polymorph of the same formula = 0.096 eV/atom
Space-group type = No. 160

a = 4.3754 Å, b = 4.3754 Å, c = 8.0026 Å
α = 74.14°, β = 74.14°, γ = 60.00°
Closest atoms and distances in Å follow each position.
Fractional coordinates of all 4 atoms:
1 La 0.0744 0.0744 0.7767  3 P 3.03, 3 Sb 3.28
2 La 0.2582 0.2582 0.2253  3 P 3.07, 3 Sb 3.29
3 P 0.6680 0.6680 0.9961  6 La 3.03-3.07
4 Sb 0.4994 0.4994 0.5019  6 La 3.28-3.29